[1]
# NbCoC3 PBE optimized geometry
data_NbCoC3
_space_group_name_H-M_alt 'P m -3 m'
_space_group_IT_number 221
_space_group_name_Hall '-P 4 2 3'
_cell_length_a 3.692
_cell_length_b 3.692
_cell_length_c 3.692
_cell_angle_alpha 90.00
_cell_angle_beta 90.00
_cell_angle_gamma 90.00
loop_
_atom_site_label
_atom_site_type_symbol
_atom_site_fract_x
_atom_site_fract_y
_atom_site_fract_z
_atom_site_occupancy
Nb1 Nb 0.000 0.000 0.000 1
Co1 Co 0.500 0.500 0.500 1
C1 C 0.000 0.500 0.500 1
# D(E_F), states/eV/cell: 6.189
# Excess energy over the best structure of this formula in the dataset, meV/atom: 0
# Volume, Å³ per cell: 50.3
# Size of the total moment, μB per formula unit: 0.000



[2]
# NdCuBr PBE optimized geometry
data_NdCuBr
_space_group_name_H-M_alt 'C 1 2/m 1'
_space_group_IT_number 12
_space_group_name_Hall '-C 2y'
_cell_length_a 21.021
_cell_length_b 3.961
_cell_length_c 7.651
_cell_angle_alpha 90.00
_cell_angle_beta 106.44
_cell_angle_gamma 90.00
loop_
_atom_site_label
_atom_site_type_symbol
_atom_site_fract_x
_atom_site_fract_y
_atom_site_fract_z
_atom_site_occupancy
Nd1 Nd 0.121 0.000 0.489 1
Nd2 Nd 0.176 0.000 0.002 1
Cu1 Cu 0.207 0.500 0.709 1
Cu2 Cu 0.235 0.500 0.385 1
Br1 Br 0.038 0.000 0.736 1
Br2 Br 0.097 0.500 0.165 1
# D(E_F), states/eV/cell: 7.039
# Formation energy (no corrections), meV per atom: -814
# Volume, Å³ per cell: 611.0
# Size of the total moment, μB per formula unit: 0.000



[3]
# CaBiO2 PBE optimized geometry
data_CaBiO2
_space_group_name_H-M_alt 'I -4 2 d'
_space_group_IT_number 122
_space_group_name_Hall 'I -4 2bw'
_cell_length_a 5.377
_cell_length_b 5.377
_cell_length_c 11.051
_cell_angle_alpha 90.00
_cell_angle_beta 90.00
_cell_angle_gamma 90.00
loop_
_atom_site_label
_atom_site_type_symbol
_atom_site_fract_x
_atom_site_fract_y
_atom_site_fract_z
_atom_site_occupancy
Ca1 Ca 0.000 0.000 0.000 1
Bi1 Bi 0.000 0.000 0.500 1
O1 O 0.230 0.250 0.125 1
# D(E_F), states/eV/cell: 5.910
# Formation energy (no corrections), meV per atom: -1610
# Volume, Å³ per cell: 319.5
# Size of the total moment, μB per formula unit: 0.000



[4]
# BaPa2Cl2O5 PBE optimized geometry
data_BaPa2Cl2O5
_space_group_name_H-M_alt 'P 4/m b m'
_space_group_IT_number 127
_space_group_name_Hall '-P 4 2ab'
_cell_length_a 9.939
_cell_length_b 9.939
_cell_length_c 3.336
_cell_angle_alpha 90.00
_cell_angle_beta 90.00
_cell_angle_gamma 90.00
loop_
_atom_site_label
_atom_site_type_symbol
_atom_site_fract_x
_atom_site_fract_y
_atom_site_fract_z
_atom_site_occupancy
Ba1 Ba 0.000 0.000 0.000 1
Pa1 Pa 0.128 0.372 0.000 1
Cl1 Cl 0.173 0.673 0.000 1
O1 O 0.000 0.500 0.500 1
O2 O 0.075 0.234 0.500 1
# D(E_F), states/eV/cell: 0.000
# Formation energy (no corrections), meV per atom: -2852
# Volume, Å³ per cell: 329.6
# Size of the total moment, μB per formula unit: 0.000



[5]
# ScBIr PBE optimized geometry
data_ScBIr
_space_group_name_H-M_alt 'P -6 m 2'
_space_group_IT_number 187
_space_group_name_Hall 'P -6 2'
_cell_length_a 3.6061
_cell_length_b 3.6061
_cell_length_c 3.9821
_cell_angle_alpha 90.00
_cell_angle_beta 90.00
_cell_angle_gamma 120.00
loop_
_atom_site_label
_atom_site_type_symbol
_atom_site_fract_x
_atom_site_fract_y
_atom_site_fract_z
_atom_site_occupancy
Sc1 Sc 0.0000 0.0000 0.0000 1
B1 B 0.3333 0.6667 0.5000 1
Ir1 Ir 0.6667 0.3333 0.5000 1
# D(E_F), states/eV/cell: 1.770
# Excess energy over the best structure of this formula in the dataset, meV/atom: 0
# Volume, Å³ per cell: 44.8
# Size of the total moment, μB per formula unit: 0.000



[6]
# La2Sm5Dy3 PBE optimized geometry
data_La2Sm5Dy3
_space_group_name_H-M_alt 'C 1 2/c 1'
_space_group_IT_number 15
_space_group_name_Hall '-C 2yc'
_cell_length_a 10.920
_cell_length_b 16.163
_cell_length_c 9.512
_cell_angle_alpha 90.00
_cell_angle_beta 124.89
_cell_angle_gamma 90.00
loop_
_atom_site_label
_atom_site_type_symbol
_atom_site_fract_x
_atom_site_fract_y
_atom_site_fract_z
_atom_site_occupancy
La1 La 0.143 0.126 0.050 1
Sm1 Sm 0.000 0.230 0.250 1
Sm2 Sm 0.000 0.273 0.750 1
Sm3 Sm 0.000 0.469 0.750 1
Sm4 Sm 0.231 0.383 0.219 1
Dy1 Dy 0.000 0.023 0.250 1
Dy2 Dy 0.157 0.379 0.544 1
# D(E_F), states/eV/cell: 68.947
# Volume, Å³ per cell: 1377.1
# Size of the total moment, μB per formula unit: 0.000
# DFT total energy, eV/atom: -4.539



[7]
# Ni2Sb2Au PBE optimized geometry
data_Ni2Sb2Au
_space_group_name_H-M_alt 'I 4/m m m'
_space_group_IT_number 139
_space_group_name_Hall '-I 4 2'
_cell_length_a 5.026
_cell_length_b 5.026
_cell_length_c 7.571
_cell_angle_alpha 90.00
_cell_angle_beta 90.00
_cell_angle_gamma 90.00
loop_
_atom_site_label
_atom_site_type_symbol
_atom_site_fract_x
_atom_site_fract_y
_atom_site_fract_z
_atom_site_occupancy
Ni1 Ni 0.000 0.000 0.151 1
Sb1 Sb 0.000 0.500 0.250 1
Au1 Au 0.000 0.000 0.500 1
# D(E_F), states/eV/cell: 8.961
# Formation energy (no corrections), meV per atom: 186
# Excess energy over the best structure of this formula in the dataset, meV/atom: 216
# Volume, Å³ per cell: 191.3
# Size of the total moment, μB per formula unit: 0.000



[8]
# RbCu2P2Se6 PBE optimized geometry
data_RbCu2P2Se6
_space_group_name_H-M_alt 'P -1'
_space_group_IT_number 2
_space_group_name_Hall '-P 1'
_cell_length_a 6.794
_cell_length_b 6.848
_cell_length_c 8.855
_cell_angle_alpha 68.21
_cell_angle_beta 73.29
_cell_angle_gamma 64.40
loop_
_atom_site_label
_atom_site_type_symbol
_atom_site_fract_x
_atom_site_fract_y
_atom_site_fract_z
_atom_site_occupancy
Rb1 Rb 0.000 0.000 0.000 1
Cu1 Cu 0.350 0.688 0.530 1
P1 P 0.266 0.288 0.249 1
Se1 Se 0.083 0.619 0.763 1
Se2 Se 0.348 0.538 0.297 1
Se3 Se 0.499 0.938 0.308 1
# D(E_F), states/eV/cell: 3.017
# Formation energy (no corrections), meV per atom: -176
# Volume, Å³ per cell: 341.0
# Size of the total moment, μB per formula unit: 0.000



[9]
# YAl3Pd PBE optimized geometry
data_YAl3Pd
_space_group_name_H-M_alt 'P m -3 m'
_space_group_IT_number 221
_space_group_name_Hall '-P 4 2 3'
_cell_length_a 4.741
_cell_length_b 4.741
_cell_length_c 4.741
_cell_angle_alpha 90.00
_cell_angle_beta 90.00
_cell_angle_gamma 90.00
loop_
_atom_site_label
_atom_site_type_symbol
_atom_site_fract_x
_atom_site_fract_y
_atom_site_fract_z
_atom_site_occupancy
Y1 Y 0.000 0.000 0.000 1
Al1 Al 0.000 0.500 0.500 1
Pd1 Pd 0.500 0.500 0.500 1
# D(E_F), states/eV/cell: 3.085
# Volume, Å³ per cell: 106.6
# Size of the total moment, μB per formula unit: 0.000
# DFT total energy, eV/atom: -4.845



[10]
# Sm6Te3Pt2Pb PBE optimized geometry
data_Sm6Te3Pt2Pb
_space_group_name_H-M_alt 'C 1 2/m 1'
_space_group_IT_number 12
_space_group_name_Hall '-C 2y'
_cell_length_a 19.493
_cell_length_b 4.279
_cell_length_c 9.018
_cell_angle_alpha 90.00
_cell_angle_beta 107.03
_cell_angle_gamma 90.00
loop_
_atom_site_label
_atom_site_type_symbol
_atom_site_fract_x
_atom_site_fract_y
_atom_site_fract_z
_atom_site_occupancy
Sm1 Sm 0.010 0.000 0.257 1
Sm2 Sm 0.170 0.500 0.114 1
Sm3 Sm 0.177 0.500 0.564 1
Te1 Te 0.000 0.500 0.500 1
Te2 Te 0.162 0.000 0.836 1
Pt1 Pt 0.168 0.000 0.337 1
Pb1 Pb 0.000 0.500 0.000 1
# D(E_F), states/eV/cell: 14.431
# Formation energy (no corrections), meV per atom: -1149
# Volume, Å³ per cell: 719.3
# Size of the total moment, μB per formula unit: 0.000



[11]
# CsCuHS2 PBE optimized geometry
data_CsCuHS2
_space_group_name_H-M_alt 'C m m e'
_space_group_IT_number 67
_space_group_name_Hall '-C 2a 2'
_cell_length_a 6.506
_cell_length_b 12.291
_cell_length_c 5.598
_cell_angle_alpha 90.00
_cell_angle_beta 90.00
_cell_angle_gamma 90.00
loop_
_atom_site_label
_atom_site_type_symbol
_atom_site_fract_x
_atom_site_fract_y
_atom_site_fract_z
_atom_site_occupancy
Cs1 Cs 0.000 0.250 0.244 1
Cu1 Cu 0.250 0.000 0.500 1
H1 H 0.000 0.000 0.000 1
S1 S 0.000 0.071 0.746 1
# D(E_F), states/eV/cell: 13.316
# Volume, Å³ per cell: 447.6
# Size of the total moment, μB per formula unit: 0.000
# DFT total energy, eV/atom: -3.764



[12]
# Cs10RbNa3 PBE optimized geometry
data_Cs10RbNa3
_space_group_name_H-M_alt 'F m -3 m'
_space_group_IT_number 225
_space_group_name_Hall '-F 4 2 3'
_cell_length_a 22.385
_cell_length_b 22.385
_cell_length_c 22.385
_cell_angle_alpha 90.00
_cell_angle_beta 90.00
_cell_angle_gamma 90.00
loop_
_atom_site_label
_atom_site_type_symbol
_atom_site_fract_x
_atom_site_fract_y
_atom_site_fract_z
_atom_site_occupancy
Cs1 Cs 0.000 0.169 0.169 1
Cs2 Cs 0.119 0.119 0.381 1
Rb1 Rb 0.250 0.250 0.250 1
Na1 Na 0.000 0.000 0.274 1
# D(E_F), states/eV/cell: 115.813
# Volume, Å³ per cell: 11216.9
# Size of the total moment, μB per formula unit: 0.000
# DFT total energy, eV/atom: -0.930



[13]
# Sb5Pb PBE optimized geometry
data_Sb5Pb
_space_group_name_H-M_alt 'P 4/m m m'
_space_group_IT_number 123
_space_group_name_Hall '-P 4 2'
_cell_length_a 3.898
_cell_length_b 3.898
_cell_length_c 11.126
_cell_angle_alpha 90.00
_cell_angle_beta 90.00
_cell_angle_gamma 90.00
loop_
_atom_site_label
_atom_site_type_symbol
_atom_site_fract_x
_atom_site_fract_y
_atom_site_fract_z
_atom_site_occupancy
Sb1 Sb 0.000 0.000 0.000 1
Sb2 Sb 0.000 0.000 0.313 1
Sb3 Sb 0.500 0.500 0.172 1
Pb1 Pb 0.500 0.500 0.500 1
# D(E_F), states/eV/cell: 2.508
# Formation energy (no corrections), meV per atom: 178
# Excess energy over the best structure of this formula in the dataset, meV/atom: 49
# Volume, Å³ per cell: 169.0
# Size of the total moment, μB per formula unit: 0.000



[14]
# Pr2MnSn4Pd3 PBE optimized geometry
data_Pr2MnSn4Pd3
_space_group_name_H-M_alt 'P -4 m 2'
_space_group_IT_number 115
_space_group_name_Hall 'P -4 -2'
_cell_length_a 4.484
_cell_length_b 4.484
_cell_length_c 11.327
_cell_angle_alpha 90.00
_cell_angle_beta 90.00
_cell_angle_gamma 90.00
loop_
_atom_site_label
_atom_site_type_symbol
_atom_site_fract_x
_atom_site_fract_y
_atom_site_fract_z
_atom_site_occupancy
Pr1 Pr 0.000 0.500 0.244 1
Mn1 Mn 0.500 0.500 0.000 1
Sn1 Sn 0.000 0.000 0.500 1
Sn2 Sn 0.000 0.500 0.867 1
Sn3 Sn 0.500 0.500 0.500 1
Pd1 Pd 0.000 0.000 0.000 1
Pd2 Pd 0.000 0.500 0.634 1
# D(E_F), states/eV/cell: 5.273
# Volume, Å³ per cell: 227.7
# Size of the total moment, μB per formula unit: 3.687
# DFT total energy, eV/atom: -5.678



[15]
# Tl2GaTe3 PBE optimized geometry
data_Tl2GaTe3
_space_group_name_H-M_alt 'C 1 2/c 1'
_space_group_IT_number 15
_space_group_name_Hall '-C 2yc'
_cell_length_a 13.123
_cell_length_b 10.155
_cell_length_c 6.437
_cell_angle_alpha 90.00
_cell_angle_beta 95.11
_cell_angle_gamma 90.00
loop_
_atom_site_label
_atom_site_type_symbol
_atom_site_fract_x
_atom_site_fract_y
_atom_site_fract_z
_atom_site_occupancy
Tl1 Tl 0.142 0.163 0.218 1
Ga1 Ga 0.000 0.383 0.750 1
Te1 Te 0.000 0.128 0.750 1
Te2 Te 0.156 0.490 0.460 1
# D(E_F), states/eV/cell: 4.135
# Formation energy (no corrections), meV per atom: -228
# Volume, Å³ per cell: 854.5
# Size of the total moment, μB per formula unit: 0.000



[16]
# Zr2CuW PBE optimized geometry
data_Zr2CuW
_space_group_name_H-M_alt 'C 1 m 1'
_space_group_IT_number 8
_space_group_name_Hall 'C -2y'
_cell_length_a 10.642
_cell_length_b 3.222
_cell_length_c 4.710
_cell_angle_alpha 90.00
_cell_angle_beta 113.05
_cell_angle_gamma 90.00
loop_
_atom_site_label
_atom_site_type_symbol
_atom_site_fract_x
_atom_site_fract_y
_atom_site_fract_z
_atom_site_occupancy
Zr1 Zr 0.000 0.000 0.000 1
Zr2 Zr 0.221 0.000 0.696 1
Cu1 Cu 0.466 0.000 0.477 1
W1 W 0.255 0.500 0.228 1
# D(E_F), states/eV/cell: 7.260
# Excess energy over the best structure of this formula in the dataset, meV/atom: 175
# Volume, Å³ per cell: 148.6
# Size of the total moment, μB per formula unit: 0.000



[17]
# Be2ReOs PBE optimized geometry
data_Be2ReOs
_space_group_name_H-M_alt 'R -3 m'
_space_group_IT_number 166
_space_group_name_Hall '-R 3 2"'
_cell_length_a 2.6929
_cell_length_b 2.6929
_cell_length_c 23.2385
_cell_angle_alpha 90.00
_cell_angle_beta 90.00
_cell_angle_gamma 120.00
loop_
_atom_site_label
_atom_site_type_symbol
_atom_site_fract_x
_atom_site_fract_y
_atom_site_fract_z
_atom_site_occupancy
Be1 Be 0.0000 0.0000 0.2473 1
Re1 Re 0.0000 0.0000 0.0000 1
Os1 Os 0.0000 0.0000 0.5000 1
# D(E_F), states/eV/cell: 7.049
# Excess energy over the best structure of this formula in the dataset, meV/atom: 259
# Volume, Å³ per cell: 145.9
# Size of the total moment, μB per formula unit: 0.000



[18]
# SnTe2Mo PBE optimized geometry
data_SnTe2Mo
_space_group_name_H-M_alt 'F m -3 m'
_space_group_IT_number 225
_space_group_name_Hall '-F 4 2 3'
_cell_length_a 7.142
_cell_length_b 7.142
_cell_length_c 7.142
_cell_angle_alpha 90.00
_cell_angle_beta 90.00
_cell_angle_gamma 90.00
loop_
_atom_site_label
_atom_site_type_symbol
_atom_site_fract_x
_atom_site_fract_y
_atom_site_fract_z
_atom_site_occupancy
Sn1 Sn 0.000 0.000 0.000 1
Te1 Te 0.250 0.250 0.250 1
Mo1 Mo 0.000 0.000 0.500 1
# D(E_F), states/eV/cell: 13.056
# Formation energy (no corrections), meV per atom: 437
# Excess energy over the best structure of this formula in the dataset, meV/atom: 422
# Volume, Å³ per cell: 364.3
# Size of the total moment, μB per formula unit: 0.000



[19]
# Sc2BiRh PBE optimized geometry
data_Sc2BiRh
_space_group_name_H-M_alt 'P 4/m m m'
_space_group_IT_number 123
_space_group_name_Hall '-P 4 2'
_cell_length_a 3.342
_cell_length_b 3.342
_cell_length_c 7.701
_cell_angle_alpha 90.00
_cell_angle_beta 90.00
_cell_angle_gamma 90.00
loop_
_atom_site_label
_atom_site_type_symbol
_atom_site_fract_x
_atom_site_fract_y
_atom_site_fract_z
_atom_site_occupancy
Sc1 Sc 0.000 0.000 0.201 1
Bi1 Bi 0.500 0.500 0.500 1
Rh1 Rh 0.500 0.500 0.000 1
# D(E_F), states/eV/cell: 2.558
# Volume, Å³ per cell: 86.0
# Size of the total moment, μB per formula unit: 0.000
# DFT total energy, eV/atom: -6.638



[20]
# CaNi4Bi12 PBE optimized geometry
data_CaNi4Bi12
_space_group_name_H-M_alt 'I m -3'
_space_group_IT_number 204
_space_group_name_Hall '-I 2 2 3'
_cell_length_a 9.737
_cell_length_b 9.737
_cell_length_c 9.737
_cell_angle_alpha 90.00
_cell_angle_beta 90.00
_cell_angle_gamma 90.00
loop_
_atom_site_label
_atom_site_type_symbol
_atom_site_fract_x
_atom_site_fract_y
_atom_site_fract_z
_atom_site_occupancy
Ca1 Ca 0.000 0.000 0.000 1
Ni1 Ni 0.250 0.250 0.250 1
Bi1 Bi 0.000 0.330 0.164 1
# D(E_F), states/eV/cell: 20.022
# Volume, Å³ per cell: 923.0
# Size of the total moment, μB per formula unit: 0.000
# DFT total energy, eV/atom: -4.317